BaPuGa4: relaxed, GGA-PBE.

Lattice parameters (Å, degrees): 5.764 5.764 5.764 60.00 60.00 60.00
Sites, in units of the cell vectors:
Ba: 0.000 0.000 0.000
Pu: 0.750 0.750 0.750
Ga: 0.376 0.376 0.376
Ga: 0.376 0.376 0.871
Ga: 0.376 0.871 0.376
Ga: 0.871 0.376 0.376

Theoretical density (kg/m3): 8096
Total magnetic moment (μB/f.u.): 5.86
ΔH_f (0 K) (meV per atom): -274